Density functional theory data (PBE) for a relaxed structure of GdZrHgPb.

```
4
Lattice="5.222 0.000 0.000 2.611 4.522 0.000 2.611 1.507 4.264" Properties=species:S:1:pos:R:3 pbc="T T T"
Gd 0.000 0.000 0.000
Pb 2.611 1.507 1.066
Hg 7.833 4.522 3.198
Zr 5.222 3.015 2.132
```

Space-group type: F-43m (216)
DOS at the Fermi energy in states/eV per atom: 1.20
V in Å³ per cell: 101
Formation enthalpy at 0 K in eV/atom: -0.215

=====

Density functional theory data (PBE) for a relaxed structure of GdHg2Pd.

```
4
Lattice="-2.072 2.270 1.954 -2.939 -1.998 -0.796 1.050 -3.699 5.409" Properties=species:S:1:pos:R:3 pbc="T T T"
Hg 0.230 -0.811 1.185
Hg 0.820 -2.889 4.224
Gd -1.981 -1.714 3.284
Pd -2.506 0.136 0.579
```

Space-group type: P4/mmm (123)
DOS at the Fermi energy in states/eV per atom: 0.56
V in Å³ per cell: 88
Formation enthalpy at 0 K in eV/atom: -0.398

=====

Density functional theory data (PBE) for a relaxed structure of GdHgPd2.

```
4
Lattice="-2.757 -2.249 -1.534 1.706 -3.582 2.185 -2.686 0.880 3.539" Properties=species:S:1:pos:R:3 pbc="T T T"
Pd 0.853 -1.791 1.093
Pd -1.343 0.440 1.769
Hg -1.379 -1.124 -0.767
Gd -1.869 -2.475 2.095
```

Space-group type: P4/mmm (123)
DOS at the Fermi energy in states/eV per atom: 0.97
V in Å³ per cell: 79
Formation enthalpy at 0 K in eV/atom: -0.584

=====

Density functional theory data (PBE) for a relaxed structure of GdHg2Pd.

```
4
Lattice="-4.817 -0.098 -1.264 -3.279 -2.411 2.871 -3.329 2.566 2.673" Properties=species:S:1:pos:R:3 pbc="T T T"
Gd 0.000 0.000 0.000
Hg -2.856 0.014 1.070
Hg -8.569 0.043 3.211
Pd -5.713 0.029 2.140
```

Space-group type: Fm-3m (225)
DOS at the Fermi energy in states/eV per atom: 0.66
V in Å³ per cell: 87
Formation enthalpy at 0 K in eV/atom: -0.451

=====

Density functional theory data (PBE) for a relaxed structure of GdHgPd.

```
3
Lattice="3.504 0.000 0.000 0.000 4.744 0.000 0.000 -2.372 4.108" Properties=species:S:1:pos:R:3 pbc="T T T"
Pd 0.584 0.000 2.739
Hg 0.584 0.000 0.000
Gd 2.336 2.372 1.369
```

Space-group type: P-6m2 (187)
DOS at the Fermi energy in states/eV per atom: 0.71
V in Å³ per cell: 68
Formation enthalpy at 0 K in eV/atom: -0.599

=====

Density functional theory data (PBE) for a relaxed structure of GdHgPd.

```
3
Lattice="-0.010 -1.825 -3.301 1.409 -3.063 1.689 -5.036 0.921 1.661" Properties=species:S:1:pos:R:3 pbc="T T T"
Gd -3.144 -3.794 -0.047
Pd -2.487 -0.873 0.491
Hg -0.342 -2.810 -0.600
```

Space-group type: I4mm (107)
DOS at the Fermi energy in states/eV per atom: 0.48
V in Å³ per cell: 67
Formation enthalpy at 0 K in eV/atom: -0.641

=====

Density functional theory data (PBE) for a relaxed structure of GdHgPd2.

```
4
Lattice="-3.530 -0.550 -0.621 0.021 -2.773 2.336 -1.400 3.832 4.562" Properties=species:S:1:pos:R:3 pbc="T T T"
Pd -0.361 0.988 1.177
Pd -1.039 2.844 3.385
Hg -2.455 0.255 3.138
Gd -1.754 -1.662 0.857
```

Space-group type: P4/mmm (123)
DOS at the Fermi energy in states/eV per atom: 0.28
V in Å³ per cell: 80
Formation enthalpy at 0 K in eV/atom: -0.595

=====

Density functional theory data (PBE) for a relaxed structure of GdHgPd.

```
3
Lattice="-2.488 1.233 -3.843 -4.700 0.547 0.295 -1.906 4.331 -0.302" Properties=species:S:1:pos:R:3 pbc="T T T"
Gd 0.000 0.000 0.000
Pd -2.274 1.528 -0.962
Hg -4.547 3.055 -1.925
```

Space-group type: F-43m (216)
DOS at the Fermi energy in states/eV per atom: 0.85
V in Å³ per cell: 75
Formation enthalpy at 0 K in eV/atom: -0.584

=====

Density functional theory data (PBE) for a relaxed structure of GdPuHgPd.

```
4
Lattice="5.171 0.000 0.000 2.585 4.478 0.000 2.585 1.493 4.222" Properties=species:S:1:pos:R:3 pbc="T T T"
Pd 0.000 0.000 0.000
Pu 2.585 1.493 1.056
Gd 7.756 4.478 3.167
Hg 5.171 2.985 2.111
```

Space-group type: F-43m (216)
DOS at the Fermi energy in states/eV per atom: 2.91
V in Å³ per cell: 98
Formation enthalpy at 0 K in eV/atom: -0.385

=====

Density functional theory data (PBE) for a relaxed structure of GdHgPdRh.

```
4
Lattice="-4.139 -1.662 -1.701 -0.721 -4.706 -0.347 -3.087 -2.164 2.928" Properties=species:S:1:pos:R:3 pbc="T T T"
Hg -5.961 -6.399 0.660
Rh -3.974 -4.266 0.440
Gd -1.987 -2.133 0.220
Pd 0.000 0.000 0.000
```

Space-group type: F-43m (216)
DOS at the Fermi energy in states/eV per atom: 0.43
V in Å³ per cell: 77
Formation enthalpy at 0 K in eV/atom: -0.562

=====

Density functional theory data (PBE) for a relaxed structure of GdScHgPd.

```
4
Lattice="-0.852 1.496 4.710 3.274 -1.140 3.624 2.836 3.598 2.040" Properties=species:S:1:pos:R:3 pbc="T T T"
Pd 3.943 2.965 7.781
Gd 2.629 1.977 5.187
Hg 1.314 0.988 2.594
Sc 0.000 0.000 0.000
```

Space-group type: F-43m (216)
DOS at the Fermi energy in states/eV per atom: 0.76
V in Å³ per cell: 89
Formation enthalpy at 0 K in eV/atom: -0.586

=====

Density functional theory data (PBE) for a relaxed structure of GdThHgPd.

```
4
Lattice="-0.245 -3.875 -3.509 4.133 -3.122 -0.743 -0.159 -4.978 1.606" Properties=species:S:1:pos:R:3 pbc="T T T"
Hg 1.865 -5.988 -1.323
Th 2.797 -8.981 -1.984
Pd 0.000 0.000 0.000
Gd 0.932 -2.994 -0.661
```

Space-group type: F-43m (216)
DOS at the Fermi energy in states/eV per atom: 1.10
V in Å³ per cell: 101
Formation enthalpy at 0 K in eV/atom: -0.476

=====

Density functional theory data (PBE) for a relaxed structure of GdTmHgPd.

```
4
Lattice="-0.480 -2.289 4.539 2.499 -4.353 0.941 3.923 -0.037 3.268" Properties=species:S:1:pos:R:3 pbc="T T T"
Hg 2.971 -3.339 4.374
Gd 1.486 -1.670 2.187
Tm 4.457 -5.009 6.561
Pd 0.000 0.000 0.000
```

Space-group type: F-43m (216)
DOS at the Fermi energy in states/eV per atom: 0.71
V in Å³ per cell: 94
Formation enthalpy at 0 K in eV/atom: -0.645

=====

Density functional theory data (PBE) for a relaxed structure of GdZnHgPd.

```
4
Lattice="4.854 0.000 0.000 2.427 4.204 0.000 2.427 1.401 3.963" Properties=species:S:1:pos:R:3 pbc="T T T"
Hg 2.427 1.401 0.991
Zn 0.000 0.000 0.000
Gd 7.281 4.204 2.973
Pd 4.854 2.803 1.982
```

Space-group type: F-43m (216)
DOS at the Fermi energy in states/eV per atom: 0.73
V in Å³ per cell: 81
Formation enthalpy at 0 K in eV/atom: -0.445

=====

Density functional theory data (PBE) for a relaxed structure of PmGdHg.

```
3
Lattice="-1.366 0.071 -3.464 -0.994 -3.575 0.319 -4.482 3.529 3.843" Properties=species:S:1:pos:R:3 pbc="T T T"
Hg -6.310 -0.142 0.484
Gd -2.329 -1.391 -1.112
Pm -3.347 1.050 1.342
```

Space-group type: I4mm (107)
DOS at the Fermi energy in states/eV per atom: 0.99
V in Å³ per cell: 88
Relative energy among the computed polymorphs in meV per atom: 0
Formation enthalpy at 0 K in eV/atom: -0.321

=====

Density functional theory data (PBE) for a relaxed structure of PmGdHg.

```
3
Lattice="3.768 0.000 0.000 0.000 5.201 0.000 0.000 -2.600 4.504" Properties=species:S:1:pos:R:3 pbc="T T T"
Hg 1.362 0.000 3.003
Pm 0.162 0.000 0.000
Gd 2.244 2.600 1.501
```

Space-group type: P3m1 (156)
DOS at the Fermi energy in states/eV per atom: 1.15
V in Å³ per cell: 88
Relative energy among the computed polymorphs in meV per atom: 133
Formation enthalpy at 0 K in eV/atom: -0.188

=====

Density functional theory data (PBE) for a relaxed structure of PmGdHg4.

```
6
Lattice="-0.634 0.709 5.916 -4.875 -2.119 2.766 0.445 -4.732 3.649" Properties=species:S:1:pos:R:3 pbc="T T T"
Hg -3.387 -1.474 5.883
Hg -3.164 -3.839 7.707
Hg -0.728 -2.779 6.324
Hg -2.847 -4.193 4.750
Gd 0.000 0.000 0.000
Pm -1.266 -1.536 3.083
```

Space-group type: F-43m (216)
DOS at the Fermi energy in states/eV per atom: 1.10
V in Å³ per cell: 152
Formation enthalpy at 0 K in eV/atom: -0.255

=====

Density functional theory data (PBE) for a relaxed structure of PmGdHg2.

```
4
Lattice="-1.468 -2.614 -2.377 0.276 -3.722 0.844 -8.505 -1.685 4.027" Properties=species:S:1:pos:R:3 pbc="T T T"
Hg -2.451 -2.004 0.638
Hg -7.246 -6.017 1.856
Pm 0.000 0.000 0.000
Gd -4.848 -4.011 1.247
```

Space-group type: R-3m (166)
DOS at the Fermi energy in states/eV per atom: 1.16
V in Å³ per cell: 118
Formation enthalpy at 0 K in eV/atom: -0.336

=====

Density functional theory data (PBE) for a relaxed structure of PmGdHg2.

```
4
Lattice="3.807 0.000 0.000 0.000 5.330 0.000 0.000 0.000 5.330" Properties=species:S:1:pos:R:3 pbc="T T T"
Pm 1.904 0.000 0.000
Gd 1.904 2.665 2.665
Hg 0.000 2.665 0.000
Hg 0.000 0.000 2.665
```

Space-group type: P4/mmm (123)
DOS at the Fermi energy in states/eV per atom: 1.37
V in Å³ per cell: 108
Formation enthalpy at 0 K in eV/atom: -0.493

=====

Density functional theory data (PBE) for a relaxed structure of PmGdHg.

```
3
Lattice="-3.413 -3.008 -2.486 1.597 -4.334 -2.354 -1.277 -4.631 1.951" Properties=species:S:1:pos:R:3 pbc="T T T"
Gd 0.000 0.000 0.000
Pm -1.547 -5.987 -1.445
Hg -0.773 -2.993 -0.722
```

Space-group type: F-43m (216)
DOS at the Fermi energy in states/eV per atom: 1.46
V in Å³ per cell: 99
Relative energy among the computed polymorphs in meV per atom: 190
Formation enthalpy at 0 K in eV/atom: -0.131